one.
Crystalline BeP2O6 at its relaxed geometry. Source: the Alexandria database, functional PBE-GGA.

The size of the total moment is 0.0 μB/f.u. Its calculated volume is 220.1 Å³ per cell.

Cell: 7.195 7.195 4.802 Å, 108.53 108.53 93.14°
Atoms (fractional coordinates):
Be 0.219 0.781 0.750
Be 0.781 0.219 0.250
P 0.180 0.359 0.678
P 0.359 0.180 0.178
P 0.641 0.820 0.822
P 0.820 0.641 0.322
O 0.021 0.768 0.453
O 0.197 0.579 0.834
O 0.232 0.979 0.047
O 0.278 0.334 0.412
O 0.334 0.278 0.912
O 0.421 0.803 0.666
O 0.579 0.197 0.334
O 0.666 0.722 0.088
O 0.722 0.666 0.588
O 0.768 0.021 0.953
O 0.803 0.421 0.166
O 0.979 0.232 0.547

---

two.
Crystalline BeP2O6 at its relaxed geometry. Source: the Alexandria database, functional PBE-GGA.

The size of the total moment is 0.0 μB/f.u. Its calculated volume is 444.4 Å³ per cell.

Cell: 5.006 13.142 7.302 Å, 90.00 112.32 90.00°
Atoms (fractional coordinates):
Be 0.159 0.069 0.269
Be 0.159 0.431 0.769
Be 0.841 0.569 0.231
Be 0.841 0.931 0.731
P 0.438 0.652 0.412
P 0.438 0.848 0.912
P 0.468 0.630 0.828
P 0.468 0.870 0.328
P 0.532 0.130 0.672
P 0.532 0.370 0.172
P 0.562 0.152 0.088
P 0.562 0.348 0.588
O 0.188 0.581 0.336
O 0.188 0.919 0.836
O 0.238 0.551 0.771
O 0.238 0.949 0.271
O 0.260 0.113 0.495
O 0.260 0.387 0.995
O 0.313 0.136 0.149
O 0.313 0.364 0.649
O 0.313 0.734 0.852
O 0.313 0.766 0.352
O 0.431 0.155 0.851
O 0.431 0.345 0.351
O 0.569 0.655 0.649
O 0.569 0.845 0.149
O 0.687 0.234 0.648
O 0.687 0.266 0.148
O 0.687 0.636 0.351
O 0.687 0.864 0.851
O 0.740 0.613 0.005
O 0.740 0.887 0.505
O 0.762 0.051 0.729
O 0.762 0.449 0.229
O 0.812 0.081 0.164
O 0.812 0.419 0.664

---

two (2.4 kJ/mol of atoms below the next structure)

---

one.
Crystalline BePO2 at its relaxed geometry. Source: the Alexandria database, functional PBE-GGA.

The size of the total moment is 0.0 μB/f.u. Its calculated volume is 36.2 Å³ per cell.

Cell: 3.715 3.715 3.715 Å, 60.00 60.00 60.00°
Atoms (fractional coordinates):
Be 0.000 0.000 0.000
P 0.500 0.500 0.500
O 0.250 0.250 0.250
O 0.750 0.750 0.750

---

two.
Crystalline BePO2 at its relaxed geometry. Source: the Alexandria database, functional PBE-GGA.

The size of the total moment is 0.0 μB/f.u. Its calculated volume is 31.1 Å³ per cell.

Cell: 5.500 5.500 5.500 Å, 27.40 27.40 27.40°
Atoms (fractional coordinates):
Be 0.000 0.000 0.000
P 0.500 0.500 0.500
O 0.394 0.394 0.394
O 0.606 0.606 0.606

---

two (154.4 kJ/mol of atoms below the next structure)

---

one.
Crystalline BeP2O at its relaxed geometry. Source: the Alexandria database, functional PBE-GGA.

The size of the total moment is 0.0 μB/f.u. Its calculated volume is 44.0 Å³ per cell.

Cell: 3.962 3.962 3.962 Å, 60.00 60.00 60.00°
Atoms (fractional coordinates):
Be 0.000 0.000 0.000
P 0.250 0.250 0.250
P 0.750 0.750 0.750
O 0.500 0.500 0.500

---

two.
Crystalline BeP2O at its relaxed geometry. Source: the Alexandria database, functional PBE-GGA.

The size of the total moment is 0.0 μB/f.u. Its calculated volume is 110.8 Å³ per cell.

Cell: 6.138 6.138 6.138 Å, 135.82 135.82 64.25°
Atoms (fractional coordinates):
Be 0.000 0.000 0.000
Be 0.750 0.250 0.500
P 0.137 0.625 0.012
P 0.375 0.387 0.512
P 0.613 0.125 0.988
P 0.875 0.863 0.488
O 0.250 0.750 0.500
O 0.500 0.500 0.000

---

two (49.0 kJ/mol of atoms below the next structure)

---

one.
Crystalline BePPdO2 at its relaxed geometry. Source: the Alexandria database, functional PBE-GGA.

The size of the total moment is 0.9 μB/f.u. Its calculated volume is 70.2 Å³ per cell.

Cell: 3.300 3.300 6.446 Å, 90.00 90.00 90.00°
Atoms (fractional coordinates):
Be 0.000 0.000 0.000
P 0.000 0.000 0.500
Pd 0.500 0.500 0.500
O 0.000 0.500 0.000
O 0.500 0.000 0.000

---

two.
Crystalline BePPdO2 at its relaxed geometry. Source: the Alexandria database, functional PBE-GGA.

The size of the total moment is 1.4 μB/f.u. Its calculated volume is 74.1 Å³ per cell.

Cell: 3.792 3.792 5.150 Å, 90.00 90.00 90.00°
Atoms (fractional coordinates):
Be 0.000 0.000 0.000
P 0.500 0.500 0.000
Pd 0.500 0.500 0.500
O 0.000 0.500 0.500
O 0.500 0.000 0.500

---

one (81.1 kJ/mol of atoms below the next structure)

---

one.
Crystalline RbBePO2 at its relaxed geometry. Source: the Alexandria database, functional PBE-GGA.

The size of the total moment is 0.4 μB/f.u. Its calculated volume is 70.6 Å³ per cell.

Cell: 4.137 4.137 4.129 Å, 90.00 90.00 90.00°
Atoms (fractional coordinates):
Rb 0.000 0.000 0.000
Be 0.500 0.500 0.500
P 0.500 0.500 0.000
O 0.000 0.500 0.500
O 0.500 0.000 0.500

---

two.
Crystalline RbBePO2 at its relaxed geometry. Source: the Alexandria database, functional PBE-GGA.

The size of the total moment is 2.3 μB/f.u. Its calculated volume is 120.5 Å³ per cell.

Cell: 4.177 4.177 6.905 Å, 90.00 90.00 90.00°
Atoms (fractional coordinates):
Rb 0.000 0.000 0.000
Be 0.500 0.500 0.500
P 0.000 0.000 0.500
O 0.000 0.500 0.000
O 0.500 0.000 0.000

---

one (152.5 kJ/mol of atoms below the next structure)

---

one.
Crystalline RbBePO4 at its relaxed geometry. Source: the Alexandria database, functional PBE-GGA.

The size of the total moment is 0.0 μB/f.u. Its calculated volume is 384.5 Å³ per cell.

Cell: 8.723 8.720 5.054 Å, 90.00 90.00 90.00°
Atoms (fractional coordinates):
Rb 0.004 0.199 0.000
Rb 0.496 0.699 0.500
Rb 0.504 0.301 0.000
Rb 0.996 0.801 0.500
Be 0.176 0.410 0.507
Be 0.324 0.910 0.007
Be 0.676 0.090 0.507
Be 0.824 0.590 0.007
P 0.184 0.584 0.008
P 0.316 0.084 0.508
P 0.684 0.916 0.008
P 0.816 0.416 0.508
O 0.009 0.603 0.013
O 0.237 0.462 0.214
O 0.240 0.533 0.730
O 0.241 0.239 0.581
O 0.259 0.739 0.081
O 0.260 0.033 0.230
O 0.263 0.962 0.714
O 0.491 0.103 0.513
O 0.509 0.897 0.013
O 0.737 0.038 0.214
O 0.740 0.967 0.730
O 0.741 0.261 0.581
O 0.759 0.761 0.081
O 0.760 0.467 0.230
O 0.763 0.538 0.714
O 0.991 0.397 0.513

---

two.
Crystalline RbBePO4 at its relaxed geometry. Source: the Alexandria database, functional PBE-GGA.

The size of the total moment is 0.0 μB/f.u. Its calculated volume is 226.7 Å³ per cell.

Cell: 4.577 6.525 7.929 Å, 90.00 106.85 90.00°
Atoms (fractional coordinates):
Rb 0.064 0.250 0.323
Rb 0.936 0.750 0.677
Be 0.257 0.250 0.852
Be 0.743 0.750 0.148
P 0.338 0.750 0.234
P 0.662 0.250 0.766
O 0.025 0.750 0.085
O 0.280 0.750 0.412
O 0.454 0.070 0.801
O 0.454 0.430 0.801
O 0.546 0.570 0.199
O 0.546 0.930 0.199
O 0.720 0.250 0.588
O 0.975 0.250 0.915

---

one (18.6 kJ/mol of atoms below the next structure)

---

one.
Crystalline RbBeP2O at its relaxed geometry. Source: the Alexandria database, functional PBE-GGA.

The size of the total moment is 1.4 μB/f.u. Its calculated volume is 126.1 Å³ per cell.

Cell: 5.431 5.431 4.276 Å, 90.00 90.00 90.00°
Atoms (fractional coordinates):
Rb 0.000 0.000 0.000
Be 0.500 0.500 0.500
P 0.000 0.500 0.000
P 0.500 0.000 0.000
O 0.000 0.000 0.500

---

two.
Crystalline RbBeP2O at its relaxed geometry. Source: the Alexandria database, functional PBE-GGA.

The size of the total moment is 1.8 μB/f.u. Its calculated volume is 104.1 Å³ per cell.

Cell: 4.147 4.147 6.051 Å, 90.00 90.00 90.00°
Atoms (fractional coordinates):
Rb 0.000 0.000 0.000
Be 0.500 0.500 0.500
P 0.000 0.500 0.500
P 0.500 0.000 0.500
O 0.500 0.500 0.000

---

two (170.7 kJ/mol of atoms below the next structure)

---

one.
Crystalline BePS2O at its relaxed geometry. Source: the Alexandria database, functional PBE-GGA.

The size of the total moment is 0.0 μB/f.u. Its calculated volume is 71.5 Å³ per cell.

Cell: 4.151 4.151 4.151 Å, 90.00 90.00 90.00°
Atoms (fractional coordinates):
Be 0.000 0.000 0.000
P 0.500 0.500 0.000
S 0.000 0.500 0.500
S 0.500 0.000 0.500
O 0.500 0.500 0.500

---

two.
Crystalline BePS2O at its relaxed geometry. Source: the Alexandria database, functional PBE-GGA.

The size of the total moment is 0.0 μB/f.u. Its calculated volume is 73.3 Å³ per cell.

Cell: 3.978 3.978 4.635 Å, 90.00 90.00 90.00°
Atoms (fractional coordinates):
Be 0.000 0.000 0.000
P 0.000 0.000 0.500
S 0.000 0.500 0.000
S 0.500 0.000 0.000
O 0.500 0.500 0.500

---

two (4.9 kJ/mol of atoms below the next structure)

---

one.
Crystalline ScBeP2O at its relaxed geometry. Source: the Alexandria database, functional PBE-GGA.

The size of the total moment is 0.0 μB/f.u. Its calculated volume is 72.0 Å³ per cell.

Cell: 4.957 4.957 2.929 Å, 90.00 90.00 90.00°
Atoms (fractional coordinates):
Sc 0.000 0.000 0.000
Be 0.500 0.500 0.500
P 0.000 0.500 0.500
P 0.500 0.000 0.500
O 0.500 0.500 0.000

---

two.
Crystalline ScBeP2O at its relaxed geometry. Source: the Alexandria database, functional PBE-GGA.

The size of the total moment is 0.0 μB/f.u. Its calculated volume is 99.8 Å³ per cell.

Cell: 5.137 5.137 3.781 Å, 90.00 90.00 90.00°
Atoms (fractional coordinates):
Sc 0.000 0.000 0.000
Be 0.500 0.500 0.500
P 0.000 0.500 0.000
P 0.500 0.000 0.000
O 0.000 0.000 0.500

---

one (81.0 kJ/mol of atoms below the next structure)

---

one.
Crystalline BeSnPO2 at its relaxed geometry. Source: the Alexandria database, functional PBE-GGA.

The size of the total moment is 0.4 μB/f.u. Its calculated volume is 84.5 Å³ per cell.

Cell: 3.876 3.876 5.621 Å, 90.00 90.00 90.00°
Atoms (fractional coordinates):
Be 0.000 0.000 0.000
Sn 0.500 0.500 0.500
P 0.500 0.500 0.000
O 0.000 0.500 0.500
O 0.500 0.000 0.500

---

two.
Crystalline BeSnPO2 at its relaxed geometry. Source: the Alexandria database, functional PBE-GGA.

The size of the total moment is 0.0 μB/f.u. Its calculated volume is 62.0 Å³ per cell.

Cell: 3.633 3.633 4.696 Å, 90.00 90.00 90.00°
Atoms (fractional coordinates):
Be 0.000 0.000 0.000
Sn 0.500 0.500 0.500
P 0.000 0.000 0.500
O 0.000 0.500 0.000
O 0.500 0.000 0.000

---

two (39.4 kJ/mol of atoms below the next structure)

---

one.
Crystalline SrBeP2O at its relaxed geometry. Source: the Alexandria database, functional PBE-GGA.

The size of the total moment is 0.8 μB/f.u. Its calculated volume is 89.7 Å³ per cell.

Cell: 4.013 4.013 5.572 Å, 90.00 90.00 90.00°
Atoms (fractional coordinates):
Sr 0.000 0.000 0.000
Be 0.500 0.500 0.500
P 0.000 0.500 0.500
P 0.500 0.000 0.500
O 0.500 0.500 0.000

---

two.
Crystalline SrBeP2O at its relaxed geometry. Source: the Alexandria database, functional PBE-GGA.

The size of the total moment is 2.4 μB/f.u. Its calculated volume is 137.7 Å³ per cell.

Cell: 5.620 5.620 4.361 Å, 90.00 90.00 90.00°
Atoms (fractional coordinates):
Sr 0.000 0.000 0.000
Be 0.500 0.500 0.500
P 0.000 0.500 0.000
P 0.500 0.000 0.000
O 0.000 0.000 0.500

---

one (148.5 kJ/mol of atoms below the next structure)

---

one.
Crystalline TaBePO2 at its relaxed geometry. Source: the Alexandria database, functional PBE-GGA.

The size of the total moment is 0.0 μB/f.u. Its calculated volume is 77.9 Å³ per cell.

Cell: 3.827 3.827 5.321 Å, 90.00 90.00 90.00°
Atoms (fractional coordinates):
Ta 0.000 0.000 0.000
Be 0.500 0.500 0.500
P 0.000 0.000 0.500
O 0.000 0.500 0.000
O 0.500 0.000 0.000

---

two.
Crystalline TaBePO2 at its relaxed geometry. Source: the Alexandria database, functional PBE-GGA.

The size of the total moment is 0.0 μB/f.u. Its calculated volume is 54.6 Å³ per cell.

Cell: 3.504 3.504 4.445 Å, 90.00 90.00 90.00°
Atoms (fractional coordinates):
Ta 0.000 0.000 0.000
Be 0.500 0.500 0.500
P 0.500 0.500 0.000
O 0.000 0.500 0.500
O 0.500 0.000 0.500

---

one (51.9 kJ/mol of atoms below the next structure)